1.
# GGA-PBE Tm2CdNi, relaxed
data_Tm2CdNi
_chemical_formula_sum 'Tm2 Cd1 Ni1'
_symmetry_space_group_name_H-M 'P 4/m m m'
_symmetry_Int_Tables_number 123
_symmetry_space_group_name_Hall '-P 4 2'
_cell_length_a 3.4026
_cell_length_b 3.4026
_cell_length_c 7.5316
_cell_angle_alpha 90.00
_cell_angle_beta 90.00
_cell_angle_gamma 90.00
loop_
_atom_site_label
_atom_site_type_symbol
_atom_site_fract_x
_atom_site_fract_y
_atom_site_fract_z
Tm1 Tm 0.0000 0.0000 0.2115
Cd1 Cd 0.5000 0.5000 0.5000
Ni1 Ni 0.5000 0.5000 0.0000
# energy above the most stable polymorph in this dataset = 0.0 meV/atom
# volume = 87 Å³ per cell
# E = -0.1584 hartree per atom
# M_tot = 0.00 μB per atom
# energy of formation = -0.3999 eV per atom

2.
# GGA-PBE Tm2Cd2Ni15, relaxed
data_Tm2Cd2Ni15
_chemical_formula_sum 'Tm6 Cd6 Ni45'
_symmetry_space_group_name_H-M 'R -3 m'
_symmetry_Int_Tables_number 166
_symmetry_space_group_name_Hall '-R 3 2"'
_cell_length_a 8.4387
_cell_length_b 8.4387
_cell_length_c 12.3082
_cell_angle_alpha 90.00
_cell_angle_beta 90.00
_cell_angle_gamma 120.00
loop_
_atom_site_label
_atom_site_type_symbol
_atom_site_fract_x
_atom_site_fract_y
_atom_site_fract_z
Tm1 Tm 0.0000 0.0000 0.1471
Cd1 Cd 0.0000 0.0000 0.3941
Ni1 Ni 0.0000 0.3100 0.5000
Ni2 Ni 0.0000 0.5000 0.0000
Ni3 Ni 0.0087 0.5044 0.6562
# volume = 759 Å³ per cell
# E = -0.1945 hartree per atom
# M_tot = 0.22 μB per atom
# energy of formation = -0.1617 eV per atom

3.
# GGA-PBE Tm2CdNi, relaxed
data_Tm2CdNi
_chemical_formula_sum 'Tm6 Cd3 Ni3'
_symmetry_space_group_name_H-M 'R -3 m'
_symmetry_Int_Tables_number 166
_symmetry_space_group_name_Hall '-R 3 2"'
_cell_length_a 3.8258
_cell_length_b 3.8258
_cell_length_c 27.9871
_cell_angle_alpha 90.00
_cell_angle_beta 90.00
_cell_angle_gamma 120.00
loop_
_atom_site_label
_atom_site_type_symbol
_atom_site_fract_x
_atom_site_fract_y
_atom_site_fract_z
Tm1 Tm 0.0000 0.0000 0.1153
Cd1 Cd 0.0000 0.0000 0.0000
Ni1 Ni 0.0000 0.0000 0.5000
# energy above the most stable polymorph in this dataset = 361.9 meV/atom
# volume = 355 Å³ per cell
# E = -0.1451 hartree per atom
# M_tot = 0.00 μB per atom
# energy of formation = -0.0380 eV per atom

4.
# GGA-PBE Tm6CdNi, relaxed
data_Tm6CdNi
_chemical_formula_sum 'Tm6 Cd1 Ni1'
_symmetry_space_group_name_H-M 'P -1'
_symmetry_Int_Tables_number 2
_cell_length_a 6.8079
_cell_length_b 6.8123
_cell_length_c 7.1188
_cell_angle_alpha 90.05
_cell_angle_beta 118.51
_cell_angle_gamma 119.94
loop_
_symmetry_equiv_pos_as_xyz
'x,y,z'
'-x,-y,-z'
loop_
_atom_site_label
_atom_site_type_symbol
_atom_site_fract_x
_atom_site_fract_y
_atom_site_fract_z
Tm1 Tm 0.0458 0.0804 0.2590
Tm2 Tm 0.2934 0.7131 0.2589
Tm3 Tm 0.3204 0.5340 0.7410
Cd1 Cd 0.5000 0.0000 0.0000
Ni1 Ni 0.5000 0.5000 0.5000
# volume = 239 Å³ per cell
# E = -0.1520 hartree per atom
# M_tot = 0.00 μB per atom
# energy of formation = 0.0544 eV per atom

5.
# GGA-PBE Tm5Cd2Ni, relaxed
data_Tm5Cd2Ni
_chemical_formula_sum 'Tm20 Cd8 Ni4'
_symmetry_space_group_name_H-M 'C m c m'
_symmetry_Int_Tables_number 63
_symmetry_space_group_name_Hall '-C 2c 2'
_cell_length_a 5.5233
_cell_length_b 11.9889
_cell_length_c 12.5167
_cell_angle_alpha 90.00
_cell_angle_beta 90.00
_cell_angle_gamma 90.00
loop_
_atom_site_label
_atom_site_type_symbol
_atom_site_fract_x
_atom_site_fract_y
_atom_site_fract_z
Tm1 Tm 0.0000 0.0774 0.1049
Tm2 Tm 0.0000 0.3745 0.0597
Tm3 Tm 0.0000 0.4119 0.7500
Cd1 Cd 0.0000 0.1853 0.6360
Ni1 Ni 0.0000 0.2436 0.2500
# volume = 829 Å³ per cell
# E = -0.1395 hartree per atom
# M_tot = 0.00 μB per atom
# energy of formation = -0.0494 eV per atom

6.
# GGA-PBE Tm7Cd2Ni2, relaxed
data_Tm7Cd2Ni2
_chemical_formula_sum 'Tm14 Cd4 Ni4'
_symmetry_space_group_name_H-M 'C m m m'
_symmetry_Int_Tables_number 65
_symmetry_space_group_name_Hall '-C 2 2'
_cell_length_a 7.7614
_cell_length_b 10.8385
_cell_length_c 6.9323
_cell_angle_alpha 90.00
_cell_angle_beta 90.00
_cell_angle_gamma 90.00
loop_
_atom_site_label
_atom_site_type_symbol
_atom_site_fract_x
_atom_site_fract_y
_atom_site_fract_z
Tm1 Tm 0.0000 0.0000 0.0000
Tm2 Tm 0.0000 0.5000 0.2372
Tm3 Tm 0.2500 0.2500 0.2456
Cd1 Cd 0.1779 0.0000 0.5000
Ni1 Ni 0.0000 0.2943 0.0000
# volume = 583 Å³ per cell
# E = -0.1556 hartree per atom
# M_tot = 0.00 μB per atom
# energy of formation = -0.1702 eV per atom

7.
# GGA-PBE Tm5CdNi, relaxed
data_Tm5CdNi
_chemical_formula_sum 'Tm20 Cd4 Ni4'
_symmetry_space_group_name_H-M 'C 1 2/c 1'
_symmetry_Int_Tables_number 15
_cell_length_a 10.9842
_cell_length_b 6.6674
_cell_length_c 11.0985
_cell_angle_alpha 90.00
_cell_angle_beta 111.31
_cell_angle_gamma 90.00
loop_
_symmetry_equiv_pos_as_xyz
'x,y,z'
'-x,-y,-z'
'-x,y,-z+1/2'
'x,-y,z+1/2'
'x+1/2,y+1/2,z'
'-x+1/2,-y+1/2,-z'
'-x+1/2,y+1/2,-z+1/2'
'x+1/2,-y+1/2,z+1/2'
loop_
_atom_site_label
_atom_site_type_symbol
_atom_site_fract_x
_atom_site_fract_y
_atom_site_fract_z
Tm1 Tm 0.0000 0.0058 0.2500
Tm2 Tm 0.1257 0.3288 0.0439
Tm3 Tm 0.2222 0.1757 0.6363
Cd1 Cd 0.0000 0.4764 0.7500
Ni1 Ni 0.0000 0.0000 0.0000
# volume = 757 Å³ per cell
# E = -0.1551 hartree per atom
# M_tot = 0.00 μB per atom
# energy of formation = -0.0704 eV per atom

8.
# GGA-PBE TmCd2Ni, relaxed
data_TmCd2Ni
_chemical_formula_sum 'Tm3 Cd6 Ni3'
_symmetry_space_group_name_H-M 'R -3 m'
_symmetry_Int_Tables_number 166
_symmetry_space_group_name_Hall '-R 3 2"'
_cell_length_a 3.1355
_cell_length_b 3.1355
_cell_length_c 30.7950
_cell_angle_alpha 90.00
_cell_angle_beta 90.00
_cell_angle_gamma 120.00
loop_
_atom_site_label
_atom_site_type_symbol
_atom_site_fract_x
_atom_site_fract_y
_atom_site_fract_z
Tm1 Tm 0.0000 0.0000 0.0000
Cd1 Cd 0.0000 0.0000 0.1016
Ni1 Ni 0.0000 0.0000 0.5000
# volume = 262 Å³ per cell
# E = -0.0997 hartree per atom
# M_tot = 0.00 μB per atom
# energy of formation = 0.3072 eV per atom

9.
# GGA-PBE Tm12CdNi6, relaxed
data_Tm12CdNi6
_chemical_formula_sum 'Tm24 Cd2 Ni12'
_symmetry_space_group_name_H-M 'I m -3'
_symmetry_Int_Tables_number 204
_symmetry_space_group_name_Hall '-I 2 2 3'
_cell_length_a 9.5520
_cell_length_b 9.5520
_cell_length_c 9.5520
_cell_angle_alpha 90.00
_cell_angle_beta 90.00
_cell_angle_gamma 90.00
loop_
_atom_site_label
_atom_site_type_symbol
_atom_site_fract_x
_atom_site_fract_y
_atom_site_fract_z
Tm1 Tm 0.0000 0.3017 0.1871
Cd1 Cd 0.0000 0.0000 0.0000
Ni1 Ni 0.0000 0.1240 0.5000
# energy above the most stable polymorph in this dataset = 0.0 meV/atom
# volume = 872 Å³ per cell
# E = -0.1858 hartree per atom
# M_tot = 0.00 μB per atom
# energy of formation = -0.3588 eV per atom

10.
# GGA-PBE Tm4Cd5Ni2, relaxed
data_Tm4Cd5Ni2
_chemical_formula_sum 'Tm4 Cd5 Ni2'
_symmetry_space_group_name_H-M 'P 1 2/m 1'
_symmetry_Int_Tables_number 10
_cell_length_a 7.5846
_cell_length_b 3.5014
_cell_length_c 9.4073
_cell_angle_alpha 90.00
_cell_angle_beta 93.88
_cell_angle_gamma 90.00
loop_
_symmetry_equiv_pos_as_xyz
'x,y,z'
'-x,-y,-z'
'-x,y,-z'
'x,-y,z'
loop_
_atom_site_label
_atom_site_type_symbol
_atom_site_fract_x
_atom_site_fract_y
_atom_site_fract_z
Tm1 Tm 0.1666 0.0000 0.3410
Tm2 Tm 0.2143 0.0000 0.9453
Cd1 Cd 0.1806 0.5000 0.6479
Cd2 Cd 0.4508 0.5000 0.1739
Cd3 Cd 0.5000 0.5000 0.5000
Ni1 Ni 0.0658 0.5000 0.1322
# volume = 249 Å³ per cell
# E = -0.1272 hartree per atom
# M_tot = 0.00 μB per atom
# energy of formation = -0.3676 eV per atom

11.
# GGA-PBE Tm4CdNi, relaxed
data_Tm4CdNi
_chemical_formula_sum 'Tm64 Cd16 Ni16'
_symmetry_space_group_name_H-M 'F -4 3 m'
_symmetry_Int_Tables_number 216
_symmetry_space_group_name_Hall 'F -4 2 3'
_cell_length_a 13.3242
_cell_length_b 13.3242
_cell_length_c 13.3242
_cell_angle_alpha 90.00
_cell_angle_beta 90.00
_cell_angle_gamma 90.00
loop_
_atom_site_label
_atom_site_type_symbol
_atom_site_fract_x
_atom_site_fract_y
_atom_site_fract_z
Tm1 Tm 0.0000 0.0000 0.1861
Tm2 Tm 0.0616 0.2500 0.2500
Tm3 Tm 0.0982 0.0982 0.5982
Cd1 Cd 0.1685 0.1685 0.8315
Ni1 Ni 0.1077 0.1077 0.3923
# energy above the most stable polymorph in this dataset = 0.0 meV/atom
# volume = 2366 Å³ per cell
# E = -0.1622 hartree per atom
# M_tot = 0.00 μB per atom
# energy of formation = -0.3178 eV per atom

12.
# GGA-PBE TmCdNi5, relaxed
data_TmCdNi5
_chemical_formula_sum 'Tm4 Cd4 Ni20'
_symmetry_space_group_name_H-M 'P n m a'
_symmetry_Int_Tables_number 62
_cell_length_a 8.0418
_cell_length_b 4.8102
_cell_length_c 10.2802
_cell_angle_alpha 90.00
_cell_angle_beta 90.00
_cell_angle_gamma 90.00
loop_
_symmetry_equiv_pos_as_xyz
'x,y,z'
'-x,-y,-z'
'-x+1/2,-y,z+1/2'
'x+1/2,y,-z+1/2'
'x+1/2,-y+1/2,-z+1/2'
'-x+1/2,y+1/2,z+1/2'
'-x,y+1/2,-z'
'x,-y+1/2,z'
loop_
_atom_site_label
_atom_site_type_symbol
_atom_site_fract_x
_atom_site_fract_y
_atom_site_fract_z
Tm1 Tm 0.2494 0.2500 0.0613
Cd1 Cd 0.1353 0.7500 0.8639
Ni1 Ni 0.0475 0.7500 0.1082
Ni2 Ni 0.0683 0.0005 0.3129
Ni3 Ni 0.0817 0.2500 0.5168
Ni4 Ni 0.1888 0.2500 0.7390
# volume = 398 Å³ per cell
# E = -0.1894 hartree per atom
# M_tot = 0.11 μB per atom
# energy of formation = -0.2555 eV per atom